A.
Material: SrLiH
Method: DFT, PBE
State: relaxed

Computed properties:
M_tot, Bohr magnetons per cell: 0.001

Cell: 7.0468 7.0468 5.9528 Å, 111.15 111.15 33.57°
Fractional positions:
Sr 0.1179 0.1179 0.3342
Sr 0.8821 0.8821 0.6658
Li 0.3401 0.3401 0.1701
Li 0.6599 0.6599 0.8299
H 0.3103 0.3103 0.4479
H 0.6897 0.6897 0.5521

B.
Material: SrLiH
Method: DFT, PBE
State: relaxed

Computed properties:
M_tot, Bohr magnetons per cell: 0.000

Cell: 5.5265 4.2244 6.9107 Å, 90.00 111.29 90.00°
Fractional positions:
Sr 0.1104 0.2500 0.3018
Sr 0.8896 0.7500 0.6982
Li 0.4122 0.2500 0.8449
Li 0.5878 0.7500 0.1551
H 0.0866 0.2500 0.6514
H 0.9134 0.7500 0.3486

The most stable of them is B.

A.
Material: Sr3Li2H7
Method: DFT, PBE
State: relaxed

Computed properties:
M_tot, Bohr magnetons per cell: 0.909

Cell: 10.7063 10.7063 10.7063 Å, 159.43 159.43 29.26°
Fractional positions:
Sr 0.0000 0.0000 0.0000
Sr 0.1806 0.1806 0.0000
Sr 0.8194 0.8194 0.0000
Li 0.4084 0.4084 0.0000
Li 0.5916 0.5916 0.0000
H 0.0922 0.5922 0.5000
H 0.3041 0.3041 0.0000
H 0.4078 0.9078 0.5000
H 0.5000 0.5000 0.0000
H 0.5922 0.0922 0.5000
H 0.6959 0.6959 0.0000
H 0.9078 0.4078 0.5000

B.
Material: Sr3Li2H7
Method: DFT, PBE
State: relaxed

Computed properties:
M_tot, Bohr magnetons per cell: 0.649

Cell: 11.8369 11.8369 3.7529 Å, 90.00 90.00 161.86°
Fractional positions:
Sr 0.0000 0.0000 0.0000
Sr 0.1609 0.8391 0.0000
Sr 0.8391 0.1609 0.0000
Li 0.4184 0.5816 0.5000
Li 0.5816 0.4184 0.5000
H 0.0825 0.9175 0.5000
H 0.3361 0.6639 0.5000
H 0.4182 0.5818 0.0000
H 0.5000 0.5000 0.5000
H 0.5818 0.4182 0.0000
H 0.6639 0.3361 0.5000
H 0.9175 0.0825 0.5000

The most stable of them is A.

A.
Material: Sr3LiH
Method: DFT, PBE
State: relaxed

Computed properties:
M_tot, Bohr magnetons per cell: 0.000

Cell: 5.5670 5.5670 5.5670 Å, 90.00 90.00 90.00°
Fractional positions:
Sr 0.0000 0.0000 0.5000
Sr 0.0000 0.5000 0.0000
Sr 0.5000 0.0000 0.0000
Li 0.5000 0.5000 0.5000
H 0.0000 0.0000 0.0000

B.
Material: Sr3LiH
Method: DFT, PBE
State: relaxed

Computed properties:
M_tot, Bohr magnetons per cell: 0.000

Cell: 8.7627 3.9663 10.2145 Å, 90.00 93.86 90.00°
Fractional positions:
Sr 0.0535 0.2500 0.3053
Sr 0.2670 0.2500 0.9514
Sr 0.3381 0.7500 0.6035
Sr 0.6619 0.2500 0.3965
Sr 0.7330 0.7500 0.0486
Sr 0.9465 0.7500 0.6947
Li 0.3734 0.7500 0.2388
Li 0.6266 0.2500 0.7612
H 0.1644 0.2500 0.7062
H 0.8356 0.7500 0.2938

The most stable of them is A.

A.
Material: SrLi2H2
Method: DFT, PBE
State: relaxed

Computed properties:
M_tot, Bohr magnetons per cell: 0.000

Cell: 6.7348 6.7348 4.2645 Å, 90.00 90.00 90.00°
Fractional positions:
Sr 0.0000 0.0000 0.0000
Sr 0.5000 0.5000 0.0000
Li 0.1525 0.3475 0.5000
Li 0.3475 0.8475 0.5000
Li 0.6525 0.1525 0.5000
Li 0.8475 0.6525 0.5000
H 0.1623 0.3377 0.0000
H 0.3377 0.8377 0.0000
H 0.6623 0.1623 0.0000
H 0.8377 0.6623 0.0000

B.
Material: SrLi2H2
Method: DFT, PBE
State: relaxed

Computed properties:
M_tot, Bohr magnetons per cell: 0.015

Cell: 6.8323 6.8323 6.8323 Å, 148.11 148.11 45.72°
Fractional positions:
Sr 0.0000 0.0000 0.0000
Li 0.2500 0.7500 0.5000
Li 0.7500 0.2500 0.5000
H 0.2033 0.2033 0.0000
H 0.7967 0.7967 0.0000

The most stable of them is B.

A.
Material: Sr2LiZnH
Method: DFT, PBE
State: relaxed

Computed properties:
M_tot, Bohr magnetons per cell: 0.000

Cell: 5.4157 5.4157 4.1377 Å, 90.00 90.00 90.00°
Fractional positions:
Sr 0.0000 0.5000 0.0000
Sr 0.5000 0.0000 0.0000
Li 0.0000 0.0000 0.5000
Zn 0.5000 0.5000 0.5000
H 0.0000 0.0000 0.0000

B.
Material: Sr2LiZnH
Method: DFT, PBE
State: relaxed

Computed properties:
M_tot, Bohr magnetons per cell: 0.000

Cell: 5.3770 5.3770 4.3177 Å, 90.00 90.00 90.00°
Fractional positions:
Sr 0.0000 0.5000 0.0000
Sr 0.5000 0.0000 0.0000
Li 0.0000 0.0000 0.5000
Zn 0.5000 0.5000 0.5000
H 0.5000 0.5000 0.0000

The most stable of them is A.

A.
Material: LiTaH2
Method: DFT, PBE
State: relaxed

Computed properties:
M_tot, Bohr magnetons per cell: 0.000

Cell: 5.2741 5.2741 5.2741 Å, 132.41 132.41 69.59°
Fractional positions:
Li 0.0000 0.0000 0.0000
Li 0.7500 0.2500 0.5000
Ta 0.2500 0.7500 0.5000
Ta 0.5000 0.5000 0.0000
H 0.1169 0.6250 0.9919
H 0.3750 0.3669 0.4919
H 0.6331 0.1250 0.0081
H 0.8750 0.8831 0.5081

B.
Material: LiTaH2
Method: DFT, PBE
State: relaxed

Computed properties:
M_tot, Bohr magnetons per cell: 0.000

Cell: 3.5533 3.5533 3.5533 Å, 60.00 60.00 60.00°
Fractional positions:
Li 0.0000 0.0000 0.0000
Ta 0.5000 0.5000 0.5000
H 0.2500 0.2500 0.2500
H 0.7500 0.7500 0.7500

C.
Material: LiTaH2
Method: DFT, PBE
State: relaxed

Computed properties:
M_tot, Bohr magnetons per cell: 0.000

Cell: 5.3521 5.3521 5.3521 Å, 31.98 31.98 31.98°
Fractional positions:
Li 0.0000 0.0000 0.0000
Ta 0.5000 0.5000 0.5000
H 0.2380 0.2380 0.2380
H 0.7620 0.7620 0.7620

The most stable of them is C.

A.
Material: LiTa2H
Method: DFT, PBE
State: relaxed

Computed properties:
M_tot, Bohr magnetons per cell: 0.000

Cell: 4.1734 4.1734 4.1734 Å, 60.00 60.00 60.00°
Fractional positions:
Li 0.0000 0.0000 0.0000
Ta 0.2500 0.2500 0.2500
Ta 0.7500 0.7500 0.7500
H 0.5000 0.5000 0.5000

B.
Material: LiTa2H
Method: DFT, PBE
State: relaxed

Computed properties:
M_tot, Bohr magnetons per cell: 0.000

Cell: 5.7547 5.7547 5.7547 Å, 119.44 119.44 90.97°
Fractional positions:
Li 0.0000 0.0000 0.0000
Li 0.7500 0.2500 0.5000
Ta 0.3370 0.6250 0.2120
Ta 0.3750 0.5870 0.7120
Ta 0.4130 0.1250 0.7880
Ta 0.8750 0.6630 0.2880
H 0.2500 0.7500 0.5000
H 0.5000 0.5000 0.0000

The most stable of them is B.

A.
Material: LiTaH3
Method: DFT, PBE
State: relaxed

Computed properties:
M_tot, Bohr magnetons per cell: 0.000

Cell: 3.2478 3.2478 3.2478 Å, 90.00 90.00 90.00°
Fractional positions:
Li 0.0000 0.0000 0.0000
Ta 0.5000 0.5000 0.5000
H 0.0000 0.0000 0.5000
H 0.0000 0.5000 0.0000
H 0.5000 0.0000 0.0000

B.
Material: LiTaH3
Method: DFT, PBE
State: relaxed

Computed properties:
M_tot, Bohr magnetons per cell: 0.000

Cell: 3.6576 3.6576 3.6576 Å, 90.00 90.00 90.00°
Fractional positions:
Li 0.0000 0.0000 0.0000
Ta 0.5000 0.5000 0.5000
H 0.0000 0.5000 0.5000
H 0.5000 0.0000 0.5000
H 0.5000 0.5000 0.0000

C.
Material: LiTaH3
Method: DFT, PBE
State: relaxed

Computed properties:
M_tot, Bohr magnetons per cell: 0.000

Cell: 6.3016 6.3016 4.5436 Å, 90.00 90.00 68.33°
Fractional positions:
Li 0.1325 0.8675 0.7910
Li 0.3675 0.6325 0.2910
Li 0.6325 0.3675 0.7090
Li 0.8675 0.1325 0.2090
Ta 0.1178 0.3822 0.7500
Ta 0.3822 0.1178 0.2500
Ta 0.6178 0.8822 0.7500
Ta 0.8822 0.6178 0.2500
H 0.0808 0.6714 0.5255
H 0.1253 0.1253 0.0000
H 0.1714 0.5808 0.0255
H 0.3286 0.9192 0.5255
H 0.3747 0.3747 0.5000
H 0.4192 0.8286 0.0255
H 0.5808 0.1714 0.9745
H 0.6253 0.6253 0.5000
H 0.6714 0.0808 0.4745
H 0.8286 0.4192 0.9745
H 0.8747 0.8747 0.0000
H 0.9192 0.3286 0.4745

The most stable of them is C.

A.
Material: LiTbH
Method: DFT, PBE
State: relaxed

Computed properties:
M_tot, Bohr magnetons per cell: 0.000

Cell: 3.7410 3.7410 9.3709 Å, 101.20 101.20 60.47°
Fractional positions:
Li 0.1945 0.1945 0.0826
Li 0.8055 0.8055 0.9174
Tb 0.3803 0.3803 0.6489
Tb 0.6197 0.6197 0.3511
H 0.3018 0.3018 0.4018
H 0.6982 0.6982 0.5982

B.
Material: LiTbH
Method: DFT, PBE
State: relaxed

Computed properties:
M_tot, Bohr magnetons per cell: 0.000

Cell: 3.3389 3.3389 5.7089 Å, 90.00 90.00 120.00°
Fractional positions:
Li 0.0000 0.0000 0.0000
Tb 0.6667 0.3333 0.5166
H 0.3333 0.6667 0.7387

The most stable of them is A.

A.
Material: LiTc2H2
Method: DFT, PBE
State: relaxed

Computed properties:
M_tot, Bohr magnetons per cell: 0.000

Cell: 5.8006 5.8006 2.7631 Å, 90.00 90.00 90.00°
Fractional positions:
Li 0.0000 0.0000 0.0000
Li 0.5000 0.5000 0.0000
Tc 0.1419 0.3581 0.5000
Tc 0.3581 0.8581 0.5000
Tc 0.6419 0.1419 0.5000
Tc 0.8581 0.6419 0.5000
H 0.2002 0.7002 0.0000
H 0.2998 0.2002 0.0000
H 0.7002 0.7998 0.0000
H 0.7998 0.2998 0.0000

B.
Material: LiTc2H2
Method: DFT, PBE
State: relaxed

Computed properties:
M_tot, Bohr magnetons per cell: 0.000

Cell: 5.2960 5.2960 5.2960 Å, 140.90 140.90 56.50°
Fractional positions:
Li 0.0000 0.0000 0.0000
Tc 0.2500 0.7500 0.5000
Tc 0.7500 0.2500 0.5000
H 0.3560 0.3560 0.0000
H 0.6440 0.6440 0.0000

The most stable of them is A.

A.
Material: Li2TcH
Method: DFT, PBE
State: relaxed

Computed properties:
M_tot, Bohr magnetons per cell: 0.000

Cell: 4.8509 4.8509 4.8509 Å, 119.98 119.98 90.03°
Fractional positions:
Li 0.3750 0.1180 0.2430
Li 0.8680 0.6250 0.7430
Li 0.8750 0.1320 0.7570
Li 0.8820 0.1250 0.2570
Tc 0.2500 0.7500 0.5000
Tc 0.5000 0.5000 0.0000
H 0.0000 0.0000 0.0000
H 0.7500 0.2500 0.5000

B.
Material: Li2TcH
Method: DFT, PBE
State: relaxed

Computed properties:
M_tot, Bohr magnetons per cell: 2.375

Cell: 4.1502 4.1502 4.1502 Å, 60.00 60.00 60.00°
Fractional positions:
Li 0.2500 0.2500 0.2500
Li 0.7500 0.7500 0.7500
Tc 0.0000 0.0000 0.0000
H 0.5000 0.5000 0.5000

The most stable of them is A.

A.
Material: LiTeH3
Method: DFT, PBE
State: relaxed

Computed properties:
M_tot, Bohr magnetons per cell: 0.000

Cell: 4.2351 4.2351 4.2351 Å, 90.00 90.00 90.00°
Fractional positions:
Li 0.0000 0.0000 0.0000
Te 0.5000 0.5000 0.5000
H 0.0000 0.5000 0.5000
H 0.5000 0.0000 0.5000
H 0.5000 0.5000 0.0000

B.
Material: LiTeH3
Method: DFT, PBE
State: relaxed

Computed properties:
M_tot, Bohr magnetons per cell: 0.000

Cell: 3.6315 3.6315 3.6315 Å, 90.00 90.00 90.00°
Fractional positions:
Li 0.0000 0.0000 0.0000
Te 0.5000 0.5000 0.5000
H 0.0000 0.0000 0.5000
H 0.0000 0.5000 0.0000
H 0.5000 0.0000 0.0000

The most stable of them is A.